[1]
Computed, not measured: a relaxed structure of PrNdGaPt at the PBE-GGA level of DFT.

Calculated values
- formation energy (eV per atom) = -0.83
- total magnetization (μB per formula unit) = 0.0
- V (Å³ per atom) = 25.503
- energy above the lowest structure with this stoichiometry (meV per atom) = 0
- total energy (eV for the cell shown) = -21.9

a b c (Å): 4.371 5.916 5.916
angles (deg): 41.81 90.00 90.00
Fractional coordinates of all 4 atoms:
1 Pr 0.000 0.000 0.000
2 Nd 0.500 0.717 0.717
3 Ga 0.500 0.428 0.428
4 Pt 0.000 0.279 0.279



[2]
Computed, not measured: a relaxed structure of BaPa2ZnP4 at the PBE-GGA level of DFT.

Calculated values
- formation energy (eV per atom) = -1.01
- total magnetization (μB per formula unit) = 0.9
- V (Å³ per atom) = 24.112
- total energy (eV for the cell shown) = -103.8

a b c (Å): 7.197 7.197 13.647
angles (deg): 90.00 90.00 146.93
Fractional coordinates of all 16 atoms:
1 Ba 0.112 0.888 0.750
2 Ba 0.888 0.112 0.250
3 Pa 0.372 0.628 0.556
4 Pa 0.372 0.628 0.944
5 Pa 0.628 0.372 0.056
6 Pa 0.628 0.372 0.444
7 Zn 0.158 0.842 0.250
8 Zn 0.842 0.158 0.750
9 P 0.000 0.000 0.000
10 P 0.000 0.000 0.500
11 P 0.260 0.740 0.109
12 P 0.260 0.740 0.391
13 P 0.435 0.565 0.750
14 P 0.565 0.435 0.250
15 P 0.740 0.260 0.609
16 P 0.740 0.260 0.891